1.
Below is Tb5Ho2Tm2 after structural relaxation, with properties calculated at the PBE level.

## Properties
For the formation energy from the elements, the calculation gives 126 meV/atom. The uncorrected energy is -4.458 eV per atom. As for the total magnetic moment: 0.0 Bohr magnetons per cell. For the energy above the most stable polymorph in this dataset, the calculation gives 0 meV per atom. The value obtained for the density of states at the Fermi level is 2.081 states/eV per atom.

a = 16.1641 Å, b = 5.7866 Å, c = 6.2517 Å
α = 90.00°, β = 105.32°, γ = 90.00°
Last column: nearest neighbours and their distance in Å.
Space group C2/m (No. 12)
Asymmetric unit:
Tb (0.0000, 0.0000, 0.0000) x2  2 Ho 3.27, 2 Tb 3.33, 4 Tm 3.44
Tb (0.1746, 0.5000, 0.3562) x4  3 Ho 3.39-3.48, 4 Tb 3.53-3.62, 3 Tm 3.58-3.65
Tb (0.2114, 0.0000, 0.0709) x4  7 Tb 3.33-3.62, 2 Ho 3.40-3.72, 1 Tm 3.57
Ho (0.1026, 0.0000, 0.5256) x4  1 Ho 3.25, 5 Tb 3.27-3.48, 2 Tm 3.47
Tm (0.0597, 0.5000, 0.7825) x4  6 Tb 3.44-3.65, 2 Ho 3.47, 2 Tm 3.55-3.73

***

2.
Below is Sr2Al4CuPt3 after structural relaxation, with properties calculated at the PBE level.

## Properties
For the formation energy from the elements, the calculation gives -834 meV/atom. The uncorrected energy is -4.889 eV per atom. As for the total magnetic moment: 0.0 Bohr magnetons per cell. The value obtained for the density of states at the Fermi level is 0.487 states/eV per atom.

a = 4.4484 Å, b = 4.4484 Å, c = 10.1212 Å
α = 90.00°, β = 90.00°, γ = 90.00°
Last column: nearest neighbours and their distance in Å.
Space group P-4m2 (No. 115)
Asymmetric unit:
Sr (0.0000, 0.5000, 0.2430) x2  2 Cu 3.32, 6 Pt 3.32-3.40, 9 Al 3.39-3.65
Al (0.0000, 0.0000, 0.5000) x1  4 Pt 2.58
Al (0.0000, 0.5000, 0.8822) x2  2 Cu 2.52, 3 Pt 2.52-2.57
Al (0.5000, 0.5000, 0.5000) x1  4 Pt 2.58
Cu (0.5000, 0.5000, 0.0000) x1  4 Al 2.52
Pt (0.0000, 0.0000, 0.0000) x1  4 Al 2.52
Pt (0.0000, 0.5000, 0.6286) x2  5 Al 2.57-2.58

***

3.
Below is PaMo2N4 after structural relaxation, with properties calculated at the PBE level.

## Properties
The value obtained for the formation energy from raw total energies is -0.760 eV/atom. The uncorrected energy is -9.968 eV per atom. As for the total magnetic moment: 7.0 Bohr magnetons per cell. The value obtained for the density of states at the Fermi level is 0.542 states/eV per atom.

a = 6.9774 Å, b = 6.9774 Å, c = 6.8719 Å
α = 90.00°, β = 90.00°, γ = 90.00°
Last column: nearest neighbours and their distance in Å.
Space group I4_1/amd (No. 141, origin choice 2)
Asymmetric unit:
Pa (0.0000, 0.2500, 0.3750) x4  4 N 2.28
Mo (0.0000, 0.0000, 0.0000) x8  6 N 2.12-2.18
N (0.0000, 0.0683, 0.6995) x16  3 Mo 2.12-2.18, 1 Pa 2.28

***

4.
Below is Li2MnPbCl8 after structural relaxation, with properties calculated at the PBE level.

## Properties
The value obtained for the formation energy from raw total energies is -1.208 eV/atom. The uncorrected energy is -3.831 eV per atom. As for the total magnetic moment: 3.0 Bohr magnetons per cell.

a = 6.3657 Å, b = 6.7770 Å, c = 8.1427 Å
α = 66.74°, β = 87.74°, γ = 79.99°
Last column: nearest neighbours and their distance in Å.
Space group P-1 (No. 2)
Asymmetric unit:
Li (0.0244, 0.1739, 0.3040) x2  4 Cl 2.36-2.53
Mn (0.5000, 0.5000, 0.0000) x1  6 Cl 2.27-2.33
Pb (0.5000, 0.5000, 0.5000) x1  6 Cl 2.86-2.99
Cl (0.0964, 0.7838, 0.4323) x2  2 Li 2.36-2.39
Cl (0.1848, 0.7296, 0.9639) x2  1 Mn 2.27, 1 Li 2.40
Cl (0.3563, 0.3111, 0.8676) x2  1 Mn 2.28
Cl (0.3946, 0.2678, 0.2764) x2  1 Mn 2.33, 1 Li 2.53